A plane-wave DFT calculation with PBE with a Hubbard U was carried out for crystalline Li2MnP2O7 at its relaxed geometry.

Cell: 5.1532 6.9289 16.5051 Å, 90.00 90.51 90.00°
Space group P2_1/c (No. 14)
Inequivalent atoms, fractional coordinates:
Li  0.2332  0.0604  0.2601
Li  0.2471  0.7490  0.9841
Mn  0.2579  0.0805  0.6314
P  0.2561  0.5934  0.3335
P  0.2567  0.2141  0.4278
O  0.0349  0.6680  0.0735
O  0.0903  0.7503  0.3731
O  0.1262  0.0085  0.7614
O  0.2899  0.0558  0.9098
O  0.3819  0.1936  0.5118
O  0.4048  0.1065  0.3617
O  0.4709  0.1673  0.1848

Computed properties:
electronic total energy	-334.84	eV/cell
spin magnetization	0.417	μB/atom
DOS(E_F)	0.0	states/eV/cell
calculated volume	12.3	Å³/atom
energy above the lowest structure with this stoichiometry	24.3	meV/atom